Record 1
Compound: PmGdMgPt
Source: Alexandria
Functional: PBE
Structure: relaxed

abc: 7.321 7.321 7.321
angles: 90.00 90.00 90.00
Positions (direct):
Pm (0.000, 0.000, 0.000)
Pm (0.000, 0.500, 0.500)
Pm (0.500, 0.000, 0.500)
Pm (0.500, 0.500, 0.000)
Gd (0.000, 0.000, 0.500)
Gd (0.000, 0.500, 0.000)
Gd (0.500, 0.000, 0.000)
Gd (0.500, 0.500, 0.500)
Mg (0.250, 0.250, 0.250)
Mg (0.250, 0.750, 0.750)
Mg (0.750, 0.250, 0.750)
Mg (0.750, 0.750, 0.250)
Pt (0.250, 0.250, 0.750)
Pt (0.250, 0.750, 0.250)
Pt (0.750, 0.250, 0.250)
Pt (0.750, 0.750, 0.750)

Formation enthalpy at 0 K = -0.5410 eV per atom

=====

Record 2
Compound: Tl2CuSnSb2
Source: Alexandria
Functional: PBE
Structure: relaxed

abc: 9.663 9.663 9.663
angles: 141.32 54.51 143.12
Positions (direct):
Tl (0.187, 0.175, 0.362)
Tl (0.313, 0.675, 0.988)
Tl (0.687, 0.325, 0.012)
Tl (0.813, 0.825, 0.638)
Cu (0.250, 0.750, 0.500)
Cu (0.750, 0.250, 0.500)
Sn (0.250, 0.250, 0.000)
Sn (0.750, 0.750, 0.000)
Sb (0.111, 0.667, 0.779)
Sb (0.389, 0.167, 0.556)
Sb (0.611, 0.833, 0.444)
Sb (0.889, 0.333, 0.221)

VASP energy = -41.45 eV per cell

=====

Record 3
Compound: CsTiI2
Source: Alexandria
Functional: PBE
Structure: relaxed

abc: 8.974 8.974 8.552
angles: 90.00 90.00 90.00
Positions (direct):
Cs (0.000, 0.000, 0.000)
Cs (0.000, 0.500, 0.250)
Cs (0.500, 0.000, 0.750)
Cs (0.500, 0.500, 0.500)
Ti (0.000, 0.000, 0.500)
Ti (0.000, 0.500, 0.750)
Ti (0.500, 0.000, 0.250)
Ti (0.500, 0.500, 0.000)
I (0.148, 0.250, 0.625)
I (0.250, 0.648, 0.875)
I (0.250, 0.852, 0.375)
I (0.352, 0.250, 0.125)
I (0.648, 0.750, 0.125)
I (0.750, 0.148, 0.375)
I (0.750, 0.352, 0.875)
I (0.852, 0.750, 0.625)

Excess energy over the best structure of this formula in the dataset = 0.00 kcal/mol of atoms

=====

Record 4
Compound: SrCaNi
Source: Alexandria
Functional: PBE
Structure: relaxed

abc: 3.627 3.627 13.592
angles: 90.00 90.00 90.00
Positions (direct):
Sr (0.000, 0.000, 0.000)
Sr (0.500, 0.500, 0.500)
Ca (0.000, 0.000, 0.252)
Ca (0.500, 0.500, 0.752)
Ni (0.000, 0.000, 0.636)
Ni (0.500, 0.500, 0.136)

Formation enthalpy at 0 K = 0.0442 eV per atom
Excess energy over the best structure of this formula in the dataset = 3.26 kcal/mol of atoms